No. 1
MgNpIn | PBE | relaxed

Values from the calculation:
The calculation puts the formation enthalpy at 0 K at 174 meV/atom. Its total DFT energy (no corrections) is -5.584 eV per atom. The value obtained for the volume is 23.8 Å³/atom. As for the space group: No. 107.

POSCAR file:
```
MgNpIn
1.0
-1.562 1.562 7.325
1.562 -1.562 7.325
1.562 1.562 -7.325
Mg Np In
1 1 1
Direct
0.000 0.000 0.000
0.325 0.325 0.000
0.654 0.654 0.000
```

No. 2
BaLiIn2P | PBE | relaxed

Values from the calculation:
The calculation puts the formation enthalpy at 0 K at 1255 meV/atom. Its total DFT energy (no corrections) is -1.689 eV per atom. The value obtained for the volume is 43.9 Å³/atom. As for the space group: No. 123.

POSCAR file:
```
BaLiIn2P
1.0
6.234 0.000 0.000
0.000 6.234 0.000
0.000 0.000 5.645
Ba Li In P
1 1 2 1
Direct
0.000 0.000 0.000
0.000 0.000 0.500
0.000 0.500 0.000
0.500 0.000 0.000
0.500 0.500 0.500
```

no.,magnetization (μB per formula unit)
1,4.61
2,0.01